Here is an optimized crystal structure of ReGe2Pb2 from the Alexandria database. Energies are from PBE.

Cell and atoms, written as POSCAR:
```
ReGe2Pb2
1.0
-2.671 -1.872 -2.304
1.003 -3.486 1.669
-6.230 -1.640 5.095
Re Pb Ge
1 2 2
Direct
0.000 0.000 0.000
0.750 0.250 0.500
0.250 0.750 0.500
0.580 0.580 0.840
0.420 0.420 0.160
```

Computed properties:
Energy relative to the lowest polymorph listed for this composition (meV per atom): 828
Calculated formation energy (kJ per mole of atoms): 126.9
Theoretical density (Mg/m³): 10.1